1.
DFT (PBE) results for crystalline Li2Hf2Co2SnGe at its relaxed geometry.

a b c (Å): 4.3368 4.3368 6.1479
angles (deg): 90.00 90.00 90.00
Space group P-4m2 (No. 115)
Inequivalent atoms, fractional coordinates:
1 Li 0.0000 0.5000 0.2358 (multiplicity 2)
2 Hf 0.0000 0.0000 0.5000 (multiplicity 1)
3 Hf 0.5000 0.5000 0.0000 (multiplicity 1)
4 Co 0.0000 0.5000 0.7595 (multiplicity 2)
5 Sn 0.5000 0.5000 0.5000 (multiplicity 1)
6 Ge 0.0000 0.0000 0.0000 (multiplicity 1)

Output
The spin magnetization comes out at 0.00 μB/cell. As for the total DFT energy (no corrections): -0.231 hartree per atom.



2.
DFT (PBE) results for crystalline CsScHgS3 at its relaxed geometry.

a b c (Å): 8.8010 4.0060 10.3274
angles (deg): 90.00 112.48 90.00
Space group P2_1/m (No. 11)
Inequivalent atoms, fractional coordinates:
1 Cs 0.2415 0.2500 0.2588 (multiplicity 2)
2 Sc 0.3340 0.7500 0.8759 (multiplicity 2)
3 Hg 0.0905 0.2500 0.6216 (multiplicity 2)
4 S 0.1295 0.2500 0.8733 (multiplicity 2)
5 S 0.2416 0.7500 0.5669 (multiplicity 2)
6 S 0.4784 0.7500 0.1343 (multiplicity 2)

Output
The spin magnetization comes out at 0.00 μB/cell. As for the total DFT energy (no corrections): -0.164 hartree per atom.



3.
DFT (PBE) results for crystalline TePd14 at its relaxed geometry.

a b c (Å): 4.7866 6.1195 25.4058
angles (deg): 89.10 89.96 75.50
Space group P-1 (No. 2)
Inequivalent atoms, fractional coordinates:
1 Te 0.2125 0.0975 0.3007 (multiplicity 2)
2 Pd 0.0661 0.0395 0.9050 (multiplicity 2)
3 Pd 0.0720 0.0335 0.1992 (multiplicity 2)
4 Pd 0.0731 0.5374 0.7531 (multiplicity 2)
5 Pd 0.0751 0.5348 0.0526 (multiplicity 2)
6 Pd 0.2096 0.6103 0.8624 (multiplicity 2)
7 Pd 0.2152 0.1063 0.0108 (multiplicity 2)
8 Pd 0.2178 0.6023 0.1586 (multiplicity 2)
9 Pd 0.2201 0.1033 0.7129 (multiplicity 2)
10 Pd 0.3510 0.1853 0.8203 (multiplicity 2)
11 Pd 0.3549 0.6798 0.9681 (multiplicity 2)
12 Pd 0.3560 0.6772 0.2655 (multiplicity 2)
13 Pd 0.3635 0.1760 0.1158 (multiplicity 2)
14 Pd 0.4947 0.2527 0.9260 (multiplicity 2)
15 Pd 0.4988 0.7462 0.7769 (multiplicity 2)

Output
For the energy above the lowest structure with this stoichiometry, the calculation gives 54 meV/atom.



4.
DFT (PBE) results for crystalline SrGaW at its relaxed geometry.

a b c (Å): 7.0979 7.0979 7.0979
angles (deg): 90.00 90.00 90.00
Space group F-43m (No. 216)
Inequivalent atoms, fractional coordinates:
1 Sr 0.0000 0.0000 0.0000 (multiplicity 4)
2 Ga 0.2500 0.2500 0.7500 (multiplicity 4)
3 W 0.2500 0.2500 0.2500 (multiplicity 4)

Output
For the energy above the lowest structure with this stoichiometry, the calculation gives 730 meV/atom. The spin magnetization comes out at 12.46 μB/cell.



5.
DFT (PBE) results for crystalline Rb2Zn3P4O14 at its relaxed geometry.

a b c (Å): 7.1602 7.1812 13.0774
angles (deg): 90.00 92.01 90.00
Space group P2_1 (No. 4)
Inequivalent atoms, fractional coordinates:
1 Rb 0.0512 0.0000 0.0819 (multiplicity 2)
2 Rb 0.3895 0.2579 0.5917 (multiplicity 2)
3 Zn 0.2095 0.6314 0.2376 (multiplicity 2)
4 Zn 0.2095 0.7479 0.5991 (multiplicity 2)
5 Zn 0.4529 0.6650 0.8858 (multiplicity 2)
6 P 0.1102 0.9752 0.3938 (multiplicity 2)
7 P 0.1606 0.9644 0.8108 (multiplicity 2)
8 P 0.3614 0.2676 0.3176 (multiplicity 2)
9 P 0.4300 0.2400 0.8877 (multiplicity 2)
10 O 0.0016 0.0736 0.8582 (multiplicity 2)
11 O 0.0897 0.5081 0.5717 (multiplicity 2)
12 O 0.1142 0.9178 0.6993 (multiplicity 2)
13 O 0.1164 0.8658 0.2948 (multiplicity 2)
14 O 0.1802 0.1861 0.3722 (multiplicity 2)
15 O 0.2176 0.8018 0.8805 (multiplicity 2)
16 O 0.2435 0.9012 0.4779 (multiplicity 2)
17 O 0.3306 0.4242 0.8643 (multiplicity 2)
18 O 0.3420 0.2184 0.2042 (multiplicity 2)
19 O 0.3425 0.0978 0.8024 (multiplicity 2)
20 O 0.3480 0.4783 0.3370 (multiplicity 2)
21 O 0.3617 0.7451 0.1311 (multiplicity 2)
22 O 0.3835 0.1603 0.9919 (multiplicity 2)
23 O 0.4722 0.6759 0.6261 (multiplicity 2)

Output
As for the total DFT energy (no corrections): -0.232 hartree per atom.



6.
DFT (PBE) results for crystalline AcHoTl at its relaxed geometry.

a b c (Å): 7.6473 7.6473 7.6473
angles (deg): 90.00 90.00 90.00
Space group F-43m (No. 216)
Inequivalent atoms, fractional coordinates:
1 Ac 0.0000 0.0000 0.0000 (multiplicity 4)
2 Ho 0.0000 0.0000 0.5000 (multiplicity 4)
3 Tl 0.2500 0.2500 0.2500 (multiplicity 4)

Output
For the energy above the lowest structure with this stoichiometry, the calculation gives 0 meV/atom. The spin magnetization comes out at 3.48 μB/cell.



7.
DFT (PBE) results for crystalline GaReOs2 at its relaxed geometry.

a b c (Å): 6.1592 6.1592 6.1592
angles (deg): 90.00 90.00 90.00
Space group F-43m (No. 216)
Inequivalent atoms, fractional coordinates:
1 Ga 0.0000 0.0000 0.0000 (multiplicity 4)
2 Re 0.2500 0.2500 0.2500 (multiplicity 4)
3 Os 0.0000 0.0000 0.5000 (multiplicity 4)
4 Os 0.2500 0.2500 0.7500 (multiplicity 4)

Output
The spin magnetization comes out at 1.38 μB/cell. As for the total DFT energy (no corrections): -0.334 hartree per atom.



8.
DFT (PBE) results for crystalline RbTaCuSe2S at its relaxed geometry.

a b c (Å): 3.7041 15.5394 9.7165
angles (deg): 90.00 90.00 90.00
Space group Cmcm (No. 63)
Inequivalent atoms, fractional coordinates:
1 Rb 0.0000 0.2412 0.2500 (multiplicity 4)
2 Ta 0.0000 0.5000 0.0000 (multiplicity 4)
3 Cu 0.0000 0.0318 0.7500 (multiplicity 4)
4 Se 0.0000 0.1184 0.5463 (multiplicity 8)
5 S 0.0000 0.4447 0.7500 (multiplicity 4)

Output
The spin magnetization comes out at 0.21 μB/cell. As for the total DFT energy (no corrections): -0.198 hartree per atom.



9.
DFT (PBE) results for crystalline SmTeNO at its relaxed geometry.

a b c (Å): 4.1355 6.1531 6.5458
angles (deg): 90.00 90.00 90.00
Space group Pmc2_1 (No. 26)
Inequivalent atoms, fractional coordinates:
1 Sm 0.0000 0.2008 0.0000 (multiplicity 2)
2 Te 0.5000 0.3353 0.4030 (multiplicity 2)
3 N 0.5000 0.3847 0.0640 (multiplicity 2)
4 O 0.0000 0.0824 0.6921 (multiplicity 2)

Output
For the energy above the lowest structure with this stoichiometry, the calculation gives 394 meV/atom. The spin magnetization comes out at 0.00 μB/cell.



10.
DFT (PBE) results for crystalline Na2Pd3W at its relaxed geometry.

a b c (Å): 5.3807 5.3807 4.4335
angles (deg): 90.00 90.00 120.00
Space group P6/mmm (No. 191)
Inequivalent atoms, fractional coordinates:
1 Na 0.3333 0.6667 0.0000 (multiplicity 2)
2 Pd 0.0000 0.5000 0.5000 (multiplicity 3)
3 W 0.0000 0.0000 0.0000 (multiplicity 1)

Output
The spin magnetization comes out at 3.83 μB/cell. As for the total DFT energy (no corrections): -0.156 hartree per atom.



11.
DFT (PBE) results for crystalline Pr2GdCd3In2Au at its relaxed geometry.

a b c (Å): 4.5932 13.2268 7.6776
angles (deg): 90.00 90.00 90.00
Space group Amm2 (No. 38)
Inequivalent atoms, fractional coordinates:
1 Pr 0.0000 0.2019 0.0000 (multiplicity 4)
2 Gd 0.0000 0.0000 0.3953 (multiplicity 2)
3 Cd 0.5000 0.0000 0.0384 (multiplicity 2)
4 Cd 0.5000 0.1209 0.6757 (multiplicity 4)
5 In 0.5000 0.1639 0.2986 (multiplicity 4)
6 Au 0.0000 0.0000 0.7904 (multiplicity 2)

Output
The spin magnetization comes out at 0.00 μB/cell. As for the total DFT energy (no corrections): -0.123 hartree per atom.



12.
DFT (PBE) results for crystalline TmLuIn at its relaxed geometry.

a b c (Å): 5.2900 5.2900 6.6222
angles (deg): 90.00 90.00 120.00
Space group P6_3/mmc (No. 194)
Inequivalent atoms, fractional coordinates:
1 Tm 0.0000 0.0000 0.0000 (multiplicity 2)
2 Lu 0.3333 0.6667 0.2500 (multiplicity 2)
3 In 0.3333 0.6667 0.7500 (multiplicity 2)

Output
For the energy above the lowest structure with this stoichiometry, the calculation gives 0 meV/atom. The spin magnetization comes out at 0.09 μB/cell.



Number 3 is which compound? TePd14